{"formula": "Tb4InAu", "functional": "PBE", "state": "optimized geometry", "cell": [[0.448, 1.826, -5.077], [-6.749, -1.368, -1.087], [-2.447, 6.670, 6.797]], "species": ["Tb", "Tb", "Au", "Tb", "In", "Tb", "Tb", "Au", "Tb", "Tb", "Tb", "In"], "frac_coords": [[0.621, 0.250, 0.441], [0.065, 0.512, 0.760], [0.771, 0.750, 0.439], [0.935, 0.012, 0.240], [0.317, 0.250, 0.081], [0.379, 0.750, 0.559], [0.337, 0.750, 0.116], [0.229, 0.250, 0.561], [0.663, 0.250, 0.884], [0.065, 0.988, 0.760], [0.935, 0.488, 0.240], [0.683, 0.750, 0.919]], "spacegroup": "P2_1/m", "dos_at_fermi_per_ev_atom": 0.927, "energy_ev_per_atom": -4.53, "vol_a3_per_atom": 27.77}